(1)
Compound: LiMg2Pd4
Source: the Alexandria database
Functional: PBE
Structure: relaxed

Calculated values
The total magnetization is 0.0 μB/f.u. The calculation puts the energy above the most stable polymorph in this dataset at 99.1 meV/atom. The value obtained for the formation energy is -2.9 eV/f.u. The value obtained for the density is 6.99 Mg/m³.

```
7
Lattice="-3.016 3.016 3.142 3.016 -3.016 3.142 3.016 3.016 -3.142" Properties=species:S:1:pos:R:3 pbc="T T T"
Li 0.000 0.000 0.000
Mg 3.016 0.000 0.000
Mg 0.000 3.016 0.000
Pd 1.508 1.508 -1.571
Pd 1.508 -1.508 1.571
Pd -1.508 1.508 1.571
Pd 1.508 1.508 1.571
```

=====

(2)
Compound: TeOsRu2
Source: the Alexandria database
Functional: PBE
Structure: relaxed

Calculated values
The total magnetization is 0.0 μB/f.u. The uncorrected formation energy is 0.90 eV/atom. The value obtained for the density is 12.90 Mg/m³.

```
4
Lattice="1.441 -2.488 0.000 1.441 2.488 0.000 0.000 0.000 9.335" Properties=species:S:1:pos:R:3 pbc="T T T"
Te 0.000 0.000 0.000
Os 0.000 0.000 4.668
Ru 1.441 0.000 2.490
Ru 1.441 0.000 6.845
```

=====

(3)
Compound: NdY12Ho2
Source: the Alexandria database
Functional: PBE
Structure: relaxed

Calculated values
The total magnetization is 0.0 μB/f.u. The value obtained for the formation energy is 2.6 eV/f.u. The value obtained for the density is 5.13 Mg/m³.

```
30
Lattice="3.546 -5.674 0.000 3.546 5.674 0.000 0.000 0.000 24.774" Properties=species:S:1:pos:R:3 pbc="T T T"
Nd 3.546 2.837 0.011
Nd 3.546 -2.837 24.763
Y 1.776 2.837 3.236
Y 5.316 -2.837 21.537
Y 3.546 5.665 22.819
Y 1.840 2.837 14.541
Y 3.546 5.532 10.872
Y 1.773 0.000 4.973
Y 1.773 0.000 8.093
Y 1.773 0.000 16.681
Y 1.773 0.000 19.801
Y 3.546 0.141 10.872
Y 5.252 2.837 14.541
Y 3.546 0.009 22.819
Y 5.316 2.837 3.236
Y 1.776 -2.837 21.537
Y 3.546 -0.009 1.955
Y 1.840 -2.837 10.233
Y 3.546 -0.141 13.902
Y 5.318 0.000 4.973
Y 5.318 0.000 8.093
Y 5.318 0.000 16.681
Y 5.318 0.000 19.801
Y 3.546 -5.532 13.902
Y 5.252 -2.837 10.233
Y 3.546 -5.665 1.955
Ho 3.546 2.837 6.678
Ho 3.546 2.837 18.163
Ho 3.546 -2.837 6.611
Ho 3.546 -2.837 18.095
```

=====

(4)
Compound: Ba2SrY2
Source: the Alexandria database
Functional: PBE
Structure: relaxed

Calculated values
The total magnetization is 0.0 μB/f.u. The calculation puts the energy above the most stable polymorph in this dataset at 41.2 meV/atom. The value obtained for the formation energy is 1.7 eV/f.u. The value obtained for the density is 3.38 Mg/m³.

```
5
Lattice="-2.262 2.262 12.960 2.262 -2.262 12.960 2.262 2.262 -12.960" Properties=species:S:1:pos:R:3 pbc="T T T"
Ba 0.000 0.000 3.133
Ba 0.000 0.000 22.787
Sr 0.000 0.000 12.960
Y 2.262 0.000 6.480
Y 0.000 2.262 6.480
```

=====

(5)
Compound: MgPb3
Source: the Alexandria database
Functional: PBE
Structure: relaxed

Calculated values
The total magnetization is 0.0 μB/f.u. The value obtained for the formation energy is 0.0 eV/f.u. The value obtained for the density is 9.19 Mg/m³.

```
4
Lattice="3.568 0.000 0.000 0.000 4.617 0.000 -0.198 0.000 7.082" Properties=species:S:1:pos:R:3 pbc="T T T"
Mg 0.000 0.000 0.000
Pb -0.099 0.000 3.541
Pb 1.706 2.309 1.646
Pb 1.664 2.309 5.436
```

=====

(6)
Compound: ScMn2ZnBi
Source: the Alexandria database
Functional: PBE
Structure: relaxed

Calculated values
The total magnetization is 7.8 μB/f.u. The value obtained for the formation energy is 1.9 eV/f.u. The value obtained for the density is 6.43 Mg/m³.

```
5
Lattice="4.685 0.000 0.000 0.000 4.685 0.000 0.000 0.000 5.052" Properties=species:S:1:pos:R:3 pbc="T T T"
Sc 0.000 0.000 0.000
Mn 0.000 2.342 2.526
Mn 2.342 0.000 2.526
Zn 0.000 0.000 2.526
Bi 2.342 2.342 0.000
```

=====

(7)
Compound: ZrAsBr
Source: the Alexandria database
Functional: PBE
Structure: relaxed

Calculated values
The total magnetization is 0.0 μB/f.u. The calculation puts the energy above the most stable polymorph in this dataset at 416.0 meV/atom. The uncorrected formation energy is -0.49 eV/atom. The value obtained for the density is 6.46 Mg/m³.

```
3
Lattice="4.706 0.000 0.000 -2.353 4.076 0.000 0.000 0.000 3.297" Properties=species:S:1:pos:R:3 pbc="T T T"
Zr 0.000 0.000 0.000
As 2.353 1.359 1.649
Br 0.000 2.717 0.000
```

=====

(8)
Compound: Co5Ni3
Source: the Alexandria database
Functional: PBE
Structure: relaxed

Calculated values
The total magnetization is 10.5 μB/f.u. The calculation puts the energy above the most stable polymorph in this dataset at 145.7 meV/atom. The value obtained for the formation energy is 1.1 eV/f.u. The value obtained for the density is 8.70 Mg/m³.

```
16
Lattice="2.239 -6.250 0.000 2.239 6.250 0.000 -1.964 0.000 6.423" Properties=species:S:1:pos:R:3 pbc="T T T"
Co 0.246 4.131 5.206
Co 1.107 0.000 0.134
Co 2.267 4.131 1.218
Co 0.456 1.211 4.247
Co 0.456 -1.211 4.247
Co 2.057 1.211 2.176
Co 2.057 -1.211 2.176
Co 0.246 -4.131 5.206
Co 1.406 0.000 6.289
Co 2.267 -4.131 1.218
Ni -0.220 0.000 2.258
Ni 1.257 3.320 3.212
Ni 2.239 2.133 0.000
Ni 2.239 -2.133 0.000
Ni 1.257 -3.320 3.212
Ni 2.733 0.000 4.165
```

=====

> What is the formula in the fifth record?

MgPb3

=====

> Which value of density does entry 7 give?

6.46 Mg/m³

=====

> The lowest density belongs to which entry?

Ba2SrY2